# 1
Below is crystalline ZrPd3Pt3 at its relaxed geometry, with properties calculated at the PBE level.

Computed properties:
space group: P2_13

POSCAR file:
```
ZrPd3Pt3
1.0
7.828 0.000 0.000
0.000 7.828 0.000
0.000 0.000 7.828
Zr Pd Pt
4 12 12
Cartesian
0.522 3.392 4.436
3.392 4.436 0.522
4.436 0.522 3.392
7.306 7.306 7.306
0.956 4.870 6.872
1.071 1.071 1.071
1.667 6.160 2.246
2.246 1.667 6.160
2.843 6.757 4.985
2.958 2.958 2.958
4.870 6.872 0.956
4.985 2.843 6.757
5.581 5.581 5.581
6.160 2.246 1.667
6.757 4.985 2.843
6.872 0.956 4.870
0.242 6.362 4.738
0.824 3.672 1.466
1.466 0.824 3.672
2.448 7.004 7.586
3.090 4.156 5.380
3.672 1.466 0.824
4.156 5.380 3.090
4.738 0.242 6.362
5.380 3.090 4.156
6.362 4.738 0.242
7.004 7.586 2.448
7.586 2.448 7.004
```

=====

# 2
Below is crystalline ZrPd4Pt7 at its relaxed geometry, with properties calculated at the PBE level.

Computed properties:
space group: P-1

POSCAR file:
```
ZrPd4Pt7
1.0
4.037 0.000 0.000
-0.004 5.812 0.000
-1.993 -1.968 8.663
Zr Pd Pt
1 4 7
Cartesian
0.000 0.000 0.000
0.001 3.451 2.698
0.019 2.327 6.920
2.021 1.517 1.743
2.039 0.392 5.965
-0.002 2.906 0.000
0.011 1.086 3.958
0.012 4.450 5.200
0.024 -0.476 7.626
2.016 4.320 1.037
2.028 -0.607 3.463
2.029 2.757 4.705
```

=====

# 3
Below is crystalline Zr2Pd3Pt3 at its relaxed geometry, with properties calculated at the PBE level.

Computed properties:
space group: Pmmm

POSCAR file:
```
Zr2Pd3Pt3
1.0
4.042 0.000 0.000
0.000 4.073 0.000
0.000 0.000 8.019
Zr Pd Pt
2 3 3
Cartesian
0.000 0.000 1.998
0.000 0.000 6.022
0.000 2.037 4.010
2.021 2.037 2.011
2.021 2.037 6.008
0.000 2.037 0.000
2.021 0.000 0.000
2.021 0.000 4.010
```

=====

# 4
Below is crystalline ZrPd5Pt at its relaxed geometry, with properties calculated at the PBE level.

Computed properties:
space group: C2/c
E above lowest polymorph: 0 meV/atom

POSCAR file:
```
ZrPd5Pt
1.0
5.870 -3.840 0.000
5.870 3.840 0.000
-0.627 0.000 5.124
Zr Pd Pt
2 10 2
Cartesian
5.400 1.938 3.843
5.713 -1.938 1.281
1.902 0.715 2.577
5.713 2.971 1.281
2.215 -0.715 0.016
4.420 0.450 1.746
4.107 -0.450 4.308
7.006 0.450 0.815
6.692 -0.450 3.377
8.897 0.715 5.108
5.400 -2.971 3.843
9.211 -0.715 2.546
2.935 1.920 0.000
2.621 -1.920 2.562
```

=====

# 5
Below is crystalline ZrPdPt4 at its relaxed geometry, with properties calculated at the PBE level.

Computed properties:
space group: C2/m
E above lowest polymorph: 66 meV/atom

POSCAR file:
```
ZrPdPt4
1.0
4.943 0.000 0.000
0.000 8.628 0.000
-1.684 0.000 4.607
Zr Pd Pt
2 2 8
Cartesian
0.000 0.000 0.000
2.472 4.314 0.000
-0.842 4.314 2.303
1.630 0.000 2.303
-0.842 1.452 2.303
0.000 2.887 0.000
0.000 5.741 0.000
-0.842 7.176 2.303
2.472 1.427 0.000
1.630 2.862 2.303
1.630 5.767 2.303
2.472 7.201 0.000
```

=====

# 6
Below is crystalline Zr2Pd5Pt5 at its relaxed geometry, with properties calculated at the PBE level.

Computed properties:
space group: C2/m
E above lowest polymorph: 16 meV/atom

POSCAR file:
```
Zr2Pd5Pt5
1.0
6.014 -2.010 0.000
6.014 2.010 0.000
-4.037 0.000 8.056
Zr Pd Pt
2 5 5
Cartesian
0.014 0.000 2.017
7.978 0.000 6.038
2.019 0.000 4.018
4.013 0.000 2.017
6.014 0.000 0.000
3.979 0.000 6.039
5.972 0.000 4.037
-2.019 0.000 4.028
-2.027 0.000 8.035
0.020 0.000 6.040
7.971 0.000 2.015
10.018 0.000 0.020
```

=====

# 7
Below is crystalline ZrPd5Pt at its relaxed geometry, with properties calculated at the PBE level.

Computed properties:
space group: Imm2
E above lowest polymorph: 162 meV/atom

POSCAR file:
```
ZrPd5Pt
1.0
5.052 0.000 0.000
0.000 5.275 0.000
0.000 0.000 9.135
Zr Pd Pt
2 10 2
Cartesian
0.000 0.000 0.000
2.526 2.637 4.567
0.000 0.000 2.485
0.000 1.349 6.903
0.000 3.925 6.903
1.249 2.637 0.271
1.277 0.000 4.838
2.526 1.288 2.336
2.526 2.637 7.052
2.526 3.987 2.336
3.776 0.000 4.838
3.803 2.637 0.271
0.000 2.637 3.016
2.526 0.000 7.583
```

=====

# 8
Below is crystalline ZrPdPt4 at its relaxed geometry, with properties calculated at the PBE level.

Computed properties:
space group: F-43m
E above lowest polymorph: 123 meV/atom

POSCAR file:
```
ZrPdPt4
1.0
0.000 3.717 3.717
3.717 0.000 3.717
3.717 3.717 0.000
Zr Pd Pt
1 1 4
Cartesian
0.000 0.000 0.000
5.575 5.575 5.575
2.791 2.791 2.791
4.643 4.643 2.791
4.643 2.791 4.643
2.791 4.643 4.643
```

=====

# 9
Below is crystalline Zr2Pd3Pt4 at its relaxed geometry, with properties calculated at the PBE level.

Computed properties:
space group: C2/m

POSCAR file:
```
Zr2Pd3Pt4
1.0
4.555 -2.030 0.000
4.555 2.030 0.000
-2.736 0.000 8.056
Zr Pd Pt
2 3 4
Cartesian
0.926 0.000 1.804
5.448 0.000 6.252
-0.026 0.000 4.440
4.555 0.000 0.000
6.400 0.000 3.616
-0.930 0.000 7.181
3.631 0.000 2.697
2.743 0.000 5.359
7.304 0.000 0.875
```

=====

# 10
Below is crystalline ZrPd4Pt3 at its relaxed geometry, with properties calculated at the PBE level.

Computed properties:
space group: C2/m

POSCAR file:
```
ZrPd4Pt3
1.0
18.610 0.000 0.000
0.000 3.045 0.000
-1.193 0.000 4.601
Zr Pd Pt
2 8 6
Cartesian
0.000 0.000 0.000
9.305 1.522 0.000
1.401 0.000 3.524
4.357 0.000 1.141
3.755 1.522 3.460
6.711 1.522 1.077
10.706 1.522 3.524
13.060 0.000 3.460
13.662 1.522 1.141
16.016 0.000 1.077
-0.597 1.522 2.300
1.983 1.522 1.240
6.129 0.000 3.361
8.708 0.000 2.300
11.288 0.000 1.240
15.434 1.522 3.361
```

=====

# 11
Below is crystalline ZrPd4Pt5 at its relaxed geometry, with properties calculated at the PBE level.

Computed properties:
space group: Pmmn

POSCAR file:
```
ZrPd4Pt5
1.0
7.115 0.000 0.000
0.000 8.225 0.000
0.000 0.000 6.119
Zr Pd Pt
2 8 10
Cartesian
1.779 2.056 0.067
5.336 6.169 6.052
0.181 6.169 4.363
1.779 4.739 0.079
1.779 7.599 0.079
3.377 6.169 4.363
3.739 2.056 1.755
5.336 0.626 6.039
5.336 3.486 6.039
6.934 2.056 1.755
0.421 0.655 4.207
0.421 3.457 4.207
1.779 6.169 2.275
3.137 0.655 4.207
3.137 3.457 4.207
3.979 4.768 1.911
3.979 7.570 1.911
5.336 2.056 3.843
6.694 4.768 1.911
6.694 7.570 1.911
```

=====

# 12
Below is crystalline ZrPd6Pt23 at its relaxed geometry, with properties calculated at the PBE level.

Computed properties:
space group: I4/mmm

POSCAR file:
```
ZrPd6Pt23
1.0
-3.950 3.950 7.825
3.950 -3.950 7.825
3.950 3.950 -7.825
Zr Pd Pt
1 6 23
Cartesian
0.000 0.000 0.000
1.967 1.967 0.000
1.983 -1.983 7.825
0.000 0.000 3.911
0.000 0.000 11.739
-1.983 1.983 7.825
1.983 1.983 7.825
1.975 1.975 -3.912
1.975 -1.975 3.912
3.950 0.000 0.000
3.950 1.956 -1.996
3.950 -1.930 5.807
2.020 0.000 2.018
5.881 0.000 2.018
1.956 3.950 -1.996
1.994 0.000 5.828
3.950 1.956 1.996
0.000 2.020 2.018
-1.975 1.975 3.912
0.000 3.950 0.000
0.000 0.000 7.825
1.975 1.975 3.912
3.950 1.930 5.807
0.000 1.994 5.828
1.956 3.950 1.996
1.994 0.000 9.821
-1.930 3.950 5.807
1.930 3.950 5.807
0.000 5.881 2.018
0.000 1.994 9.821
```

=====

# 13
Below is crystalline ZrPd3Pt6 at its relaxed geometry, with properties calculated at the PBE level.

Computed properties:
space group: P2_1/m

POSCAR file:
```
ZrPd3Pt6
1.0
8.933 0.000 0.000
0.000 3.937 0.000
-2.252 0.000 9.604
Zr Pd Pt
2 6 12
Cartesian
1.341 0.984 1.889
5.341 2.953 7.715
-0.991 2.953 6.974
0.818 0.984 7.808
1.589 2.953 5.981
5.092 0.984 3.623
5.863 2.953 1.796
7.672 0.984 2.630
-1.810 0.984 8.700
-0.222 0.984 5.109
2.213 2.953 0.076
2.398 0.984 4.362
3.176 2.953 2.645
4.061 0.984 0.896
2.620 2.953 8.707
3.505 0.984 6.959
4.283 2.953 5.242
4.469 0.984 9.527
6.904 2.953 4.495
8.492 2.953 0.903
```

=====

# 14
Below is crystalline Zr2PdPt5 at its relaxed geometry, with properties calculated at the PBE level.

Computed properties:
space group: Pbam

POSCAR file:
```
Zr2PdPt5
1.0
5.709 0.000 0.000
0.000 11.423 0.000
0.000 0.000 4.067
Zr Pd Pt
4 2 10
Cartesian
1.421 1.429 0.000
1.433 7.140 0.000
4.275 4.282 0.000
4.288 9.994 0.000
0.000 5.711 2.033
2.854 0.000 2.033
0.000 0.000 2.033
5.707 2.852 2.033
0.001 8.571 2.033
1.424 4.289 0.000
1.431 10.000 0.000
2.853 2.859 2.033
2.854 5.711 2.033
2.856 8.564 2.033
4.278 1.423 0.000
4.285 7.134 0.000
```

=====

# 15
Below is crystalline Zr4Pd2Pt at its relaxed geometry, with properties calculated at the PBE level.

Computed properties:
space group: Cmmm

POSCAR file:
```
Zr4Pd2Pt
1.0
7.001 0.000 0.000
0.000 9.146 0.000
0.000 0.000 4.492
Zr Pd Pt
8 4 2
Cartesian
1.643 0.000 0.000
1.750 2.287 2.246
1.750 6.860 2.246
1.857 4.573 0.000
5.144 4.573 0.000
5.251 2.287 2.246
5.251 6.860 2.246
5.358 0.000 0.000
0.000 2.345 0.000
0.000 6.801 0.000
3.500 2.228 0.000
3.500 6.918 0.000
0.000 4.573 2.246
3.500 0.000 2.246
```

=====

# 16
Below is crystalline Zr5PdPt at its relaxed geometry, with properties calculated at the PBE level.

Computed properties:
space group: C2/c

POSCAR file:
```
Zr5PdPt
1.0
4.967 -3.098 0.000
4.967 3.098 0.000
-4.877 0.000 9.919
Zr Pd Pt
10 2 2
Cartesian
-0.966 2.128 9.918
1.310 1.606 7.439
3.586 2.128 4.960
1.238 0.047 2.970
-1.200 -0.047 7.929
6.258 0.047 1.990
3.819 -0.047 6.949
1.472 -2.128 4.959
3.748 -1.606 2.480
6.024 -2.128 0.001
3.748 1.292 2.480
1.310 -1.292 7.439
0.045 1.549 4.959
2.484 -1.549 0.000
```

=====

# 17
Below is crystalline ZrPd5Pt2 at its relaxed geometry, with properties calculated at the PBE level.

Computed properties:
space group: Pbam
E above lowest polymorph: 0 meV/atom

POSCAR file:
```
ZrPd5Pt2
1.0
5.668 0.000 0.000
0.000 11.333 0.000
0.000 0.000 3.991
Zr Pd Pt
2 10 4
Cartesian
0.000 0.000 0.000
2.834 5.667 0.000
0.000 5.667 0.000
0.026 2.801 0.000
1.418 4.240 1.995
1.416 9.907 1.995
2.809 8.468 0.000
2.834 0.000 0.000
2.860 2.865 0.000
4.252 1.426 1.995
4.250 7.093 1.995
5.643 8.532 0.000
1.404 7.064 1.995
1.430 1.398 1.995
4.238 9.936 1.995
4.264 4.269 1.995
```

=====

# 18
Below is crystalline Zr2Pd4Pt3 at its relaxed geometry, with properties calculated at the PBE level.

Computed properties:
space group: C2/m

POSCAR file:
```
Zr2Pd4Pt3
1.0
4.579 -2.024 0.000
4.579 2.024 0.000
-2.882 0.000 8.038
Zr Pd Pt
2 4 3
Cartesian
0.898 0.000 1.820
5.377 0.000 6.218
-1.059 0.000 7.176
3.613 0.000 2.675
2.663 0.000 5.363
7.335 0.000 0.862
-0.105 0.000 4.458
4.579 0.000 0.000
6.381 0.000 3.580
```

=====

# 19
Below is crystalline ZrPd6Pt4 at its relaxed geometry, with properties calculated at the PBE level.

Computed properties:
space group: P-6m2

POSCAR file:
```
ZrPd6Pt4
1.0
8.763 0.000 0.000
-4.381 7.589 0.000
0.000 0.000 2.773
Zr Pd Pt
1 6 4
Cartesian
0.000 0.000 0.000
0.000 2.709 1.387
-2.035 6.234 1.387
4.381 0.239 0.000
2.398 3.675 0.000
2.035 6.234 1.387
6.365 3.675 0.000
0.000 5.059 0.000
2.250 1.299 1.387
6.513 1.299 1.387
4.381 4.991 1.387
```

=====

no.,formation enthalpy at 0 K (eV per atom)
1,-0.3617
2,-0.1684
3,-0.9269
4,-0.3730
5,-0.6358
6,-0.6529
7,-0.2113
8,-0.5784
9,-0.8040
10,-0.3764
11,-0.0569
12,-0.1301
13,-0.3089
14,-1.0003
15,-0.5002
16,-0.2102
17,-0.4872
18,-0.7615
19,-0.1710